# Na3TcPd | Alexandria | meta-GGA SCAN | PBEsol geometry
# ΔE_f ... 1.0622 eV/atom
# Density ... 3.2 g cm⁻³
data_Na3TcPd
_chemical_formula_sum 'Na3 Tc1 Pd1'
_symmetry_space_group_name_H-M 'P m -3 m'
_symmetry_Int_Tables_number 221
_symmetry_space_group_name_Hall '-P 4 2 3'
_cell_length_a 5.219
_cell_length_b 5.219
_cell_length_c 5.219
_cell_angle_alpha 90.00
_cell_angle_beta 90.00
_cell_angle_gamma 90.00
loop_
_atom_site_label
_atom_site_type_symbol
_atom_site_fract_x
_atom_site_fract_y
_atom_site_fract_z
Na1 Na 0.000 0.000 0.500
Tc1 Tc 0.500 0.500 0.500
Pd1 Pd 0.000 0.000 0.000


# NaTePd3 | Alexandria | meta-GGA SCAN | PBEsol geometry
# Formation energy without anion corrections ... -0.05 eV/atom
# Density ... 6.5 g cm⁻³
data_NaTePd3
_chemical_formula_sum 'Na1 Te1 Pd3'
_symmetry_space_group_name_H-M 'P m -3 m'
_symmetry_Int_Tables_number 221
_symmetry_space_group_name_Hall '-P 4 2 3'
_cell_length_a 4.933
_cell_length_b 4.933
_cell_length_c 4.933
_cell_angle_alpha 90.00
_cell_angle_beta 90.00
_cell_angle_gamma 90.00
loop_
_atom_site_label
_atom_site_type_symbol
_atom_site_fract_x
_atom_site_fract_y
_atom_site_fract_z
Na1 Na 0.000 0.000 0.000
Te1 Te 0.500 0.500 0.500
Pd1 Pd 0.000 0.500 0.500


# Na3TiPd | Alexandria | meta-GGA SCAN | PBEsol geometry
# ΔE_f ... 0.6747 eV/atom
# Density ... 2.6 g cm⁻³
data_Na3TiPd
_chemical_formula_sum 'Na3 Ti1 Pd1'
_symmetry_space_group_name_H-M 'P m -3 m'
_symmetry_Int_Tables_number 221
_symmetry_space_group_name_Hall '-P 4 2 3'
_cell_length_a 5.243
_cell_length_b 5.243
_cell_length_c 5.243
_cell_angle_alpha 90.00
_cell_angle_beta 90.00
_cell_angle_gamma 90.00
loop_
_atom_site_label
_atom_site_type_symbol
_atom_site_fract_x
_atom_site_fract_y
_atom_site_fract_z
Na1 Na 0.000 0.000 0.500
Ti1 Ti 0.500 0.500 0.500
Pd1 Pd 0.000 0.000 0.000


# NaTlPd2 | Alexandria | meta-GGA SCAN | PBEsol geometry
# ΔE_f ... -0.1903 eV/atom
# Density ... 10.6 g cm⁻³
data_NaTlPd2
_chemical_formula_sum 'Na4 Tl4 Pd8'
_symmetry_space_group_name_H-M 'F m -3 m'
_symmetry_Int_Tables_number 225
_symmetry_space_group_name_Hall '-F 4 2 3'
_cell_length_a 6.514
_cell_length_b 6.514
_cell_length_c 6.514
_cell_angle_alpha 90.00
_cell_angle_beta 90.00
_cell_angle_gamma 90.00
loop_
_atom_site_label
_atom_site_type_symbol
_atom_site_fract_x
_atom_site_fract_y
_atom_site_fract_z
Na1 Na 0.000 0.000 0.000
Tl1 Tl 0.000 0.000 0.500
Pd1 Pd 0.250 0.250 0.250


# Na2Tl2Pd | Alexandria | meta-GGA SCAN | PBEsol geometry
# ΔE_f ... -0.1512 eV/atom
# Density ... 7.3 g cm⁻³
data_Na2Tl2Pd
_chemical_formula_sum 'Na4 Tl4 Pd2'
_symmetry_space_group_name_H-M 'P 4/m b m'
_symmetry_Int_Tables_number 127
_symmetry_space_group_name_Hall '-P 4 2ab'
_cell_length_a 7.070
_cell_length_b 7.070
_cell_length_c 5.106
_cell_angle_alpha 90.00
_cell_angle_beta 90.00
_cell_angle_gamma 90.00
loop_
_atom_site_label
_atom_site_type_symbol
_atom_site_fract_x
_atom_site_fract_y
_atom_site_fract_z
Na1 Na 0.174 0.326 0.000
Tl1 Tl 0.150 0.650 0.500
Pd1 Pd 0.000 0.000 0.500


# NaPd3W | Alexandria | meta-GGA SCAN | PBEsol geometry
# ΔE_f ... 1.6131 eV/atom
# Density ... 10.2 g cm⁻³
data_NaPd3W
_chemical_formula_sum 'Na1 Pd3 W1'
_symmetry_space_group_name_H-M 'P m -3 m'
_symmetry_Int_Tables_number 221
_symmetry_space_group_name_Hall '-P 4 2 3'
_cell_length_a 4.403
_cell_length_b 4.403
_cell_length_c 4.403
_cell_angle_alpha 90.00
_cell_angle_beta 90.00
_cell_angle_gamma 90.00
loop_
_atom_site_label
_atom_site_type_symbol
_atom_site_fract_x
_atom_site_fract_y
_atom_site_fract_z
Na1 Na 0.000 0.000 0.000
Pd1 Pd 0.000 0.000 0.500
W1 W 0.500 0.500 0.500


# NaZn2Pd2 | Alexandria | meta-GGA SCAN | PBEsol geometry
# ΔE_f ... -0.4383 eV/atom
# Density ... 7.8 g cm⁻³
data_NaZn2Pd2
_chemical_formula_sum 'Na2 Zn4 Pd4'
_symmetry_space_group_name_H-M 'P 4/m b m'
_symmetry_Int_Tables_number 127
_symmetry_space_group_name_Hall '-P 4 2ab'
_cell_length_a 7.511
_cell_length_b 7.511
_cell_length_c 2.779
_cell_angle_alpha 90.00
_cell_angle_beta 90.00
_cell_angle_gamma 90.00
loop_
_atom_site_label
_atom_site_type_symbol
_atom_site_fract_x
_atom_site_fract_y
_atom_site_fract_z
Na1 Na 0.000 0.000 0.000
Zn1 Zn 0.160 0.340 0.500
Pd1 Pd 0.135 0.635 0.000


# Na2ZrPd | Alexandria | meta-GGA SCAN | PBEsol geometry
# ΔE_f ... 0.6238 eV/atom
# Density ... 5.1 g cm⁻³
data_Na2ZrPd
_chemical_formula_sum 'Na8 Zr4 Pd4'
_symmetry_space_group_name_H-M 'F m -3 m'
_symmetry_Int_Tables_number 225
_symmetry_space_group_name_Hall '-F 4 2 3'
_cell_length_a 6.803
_cell_length_b 6.803
_cell_length_c 6.803
_cell_angle_alpha 90.00
_cell_angle_beta 90.00
_cell_angle_gamma 90.00
loop_
_atom_site_label
_atom_site_type_symbol
_atom_site_fract_x
_atom_site_fract_y
_atom_site_fract_z
Na1 Na 0.250 0.250 0.250
Zr1 Zr 0.000 0.000 0.000
Pd1 Pd 0.000 0.000 0.500


# NaPrS2 | Alexandria | meta-GGA SCAN | PBEsol geometry
# Formation energy without anion corrections ... -2.06 eV/atom
# Density ... 3.9 g cm⁻³
data_NaPrS2
_chemical_formula_sum 'Na3 Pr3 S6'
_symmetry_space_group_name_H-M 'R -3 m'
_symmetry_Int_Tables_number 166
_symmetry_space_group_name_Hall '-R 3 2"'
_cell_length_a 4.1153
_cell_length_b 4.1153
_cell_length_c 19.7765
_cell_angle_alpha 90.00
_cell_angle_beta 90.00
_cell_angle_gamma 120.00
loop_
_atom_site_label
_atom_site_type_symbol
_atom_site_fract_x
_atom_site_fract_y
_atom_site_fract_z
Na1 Na 0.0000 0.0000 0.0000
Pr1 Pr 0.0000 0.0000 0.5000
S1 S 0.0000 0.0000 0.2454


# NaPrS2 | Alexandria | meta-GGA SCAN | PBEsol geometry
# Formation energy without anion corrections ... -1.97 eV/atom
# Density ... 4.0 g cm⁻³
data_NaPrS2
_chemical_formula_sum 'Na1 Pr1 S2'
_symmetry_space_group_name_H-M 'P 4/m m m'
_symmetry_Int_Tables_number 123
_symmetry_space_group_name_Hall '-P 4 2'
_cell_length_a 4.093
_cell_length_b 4.093
_cell_length_c 5.586
_cell_angle_alpha 90.00
_cell_angle_beta 90.00
_cell_angle_gamma 90.00
loop_
_atom_site_label
_atom_site_type_symbol
_atom_site_fract_x
_atom_site_fract_y
_atom_site_fract_z
Na1 Na 0.000 0.000 0.000
Pr1 Pr 0.500 0.500 0.500
S1 S 0.000 0.000 0.500
S2 S 0.500 0.500 0.000


# NaPrS2 | Alexandria | meta-GGA SCAN | PBEsol geometry
# Formation energy without anion corrections ... -2.05 eV/atom
# Density ... 3.9 g cm⁻³
data_NaPrS2
_chemical_formula_sum 'Na4 Pr4 S8'
_symmetry_space_group_name_H-M 'I 41/a m d'
_symmetry_Int_Tables_number 141
_cell_length_a 5.688
_cell_length_b 5.688
_cell_length_c 11.858
_cell_angle_alpha 90.00
_cell_angle_beta 90.00
_cell_angle_gamma 90.00
loop_
_symmetry_equiv_pos_as_xyz
'x,y,z'
'-x,-y,-z'
'-y+1/4,x+3/4,z+1/4'
'y+1/4,-x+3/4,-z+1/4'
'-x+1/2,-y,z+1/2'
'x+1/2,y,-z+1/2'
'y+1/4,-x+1/4,z+3/4'
'-y+1/4,x+1/4,-z+3/4'
'x,-y,-z'
'-x,y,z'
'-y+1/4,-x+1/4,-z+3/4'
'y+1/4,x+1/4,z+3/4'
'-x+1/2,y,-z+1/2'
'x+1/2,-y,z+1/2'
'y+1/4,x+3/4,-z+1/4'
'-y+1/4,-x+3/4,z+1/4'
'x+1/2,y+1/2,z+1/2'
'-x+1/2,-y+1/2,-z+1/2'
'-y+3/4,x+1/4,z+3/4'
'y+3/4,-x+1/4,-z+3/4'
'-x,-y+1/2,z'
'x,y+1/2,-z'
'y+3/4,-x+3/4,z+1/4'
'-y+3/4,x+3/4,-z+1/4'
'x+1/2,-y+1/2,-z+1/2'
'-x+1/2,y+1/2,z+1/2'
'-y+3/4,-x+3/4,-z+1/4'
'y+3/4,x+3/4,z+1/4'
'-x,y+1/2,-z'
'x,-y+1/2,z'
'y+3/4,x+1/4,-z+3/4'
'-y+3/4,-x+1/4,z+3/4'
loop_
_atom_site_label
_atom_site_type_symbol
_atom_site_fract_x
_atom_site_fract_y
_atom_site_fract_z
Na1 Na 0.000 0.250 0.375
Pr1 Pr 0.000 0.250 0.875
S1 S 0.000 0.250 0.113


# NaPr2Se3 | Alexandria | meta-GGA SCAN | PBEsol geometry
# Formation energy without anion corrections ... -1.97 eV/atom
# Density ... 5.7 g cm⁻³
data_NaPr2Se3
_chemical_formula_sum 'Na2 Pr4 Se6'
_symmetry_space_group_name_H-M 'I m m m'
_symmetry_Int_Tables_number 71
_symmetry_space_group_name_Hall '-I 2 2'
_cell_length_a 4.184
_cell_length_b 5.931
_cell_length_c 12.716
_cell_angle_alpha 90.00
_cell_angle_beta 90.00
_cell_angle_gamma 90.00
loop_
_atom_site_label
_atom_site_type_symbol
_atom_site_fract_x
_atom_site_fract_y
_atom_site_fract_z
Na1 Na 0.000 0.000 0.000
Pr1 Pr 0.000 0.000 0.336
Se1 Se 0.000 0.500 0.000
Se2 Se 0.000 0.500 0.333


# NaPrTl2 | Alexandria | meta-GGA SCAN | PBEsol geometry
# ΔE_f ... -0.4583 eV/atom
# Density ... 8.8 g cm⁻³
data_NaPrTl2
_chemical_formula_sum 'Na4 Pr4 Tl8'
_symmetry_space_group_name_H-M 'F m -3 m'
_symmetry_Int_Tables_number 225
_symmetry_space_group_name_Hall '-F 4 2 3'
_cell_length_a 7.560
_cell_length_b 7.560
_cell_length_c 7.560
_cell_angle_alpha 90.00
_cell_angle_beta 90.00
_cell_angle_gamma 90.00
loop_
_atom_site_label
_atom_site_type_symbol
_atom_site_fract_x
_atom_site_fract_y
_atom_site_fract_z
Na1 Na 0.000 0.000 0.000
Pr1 Pr 0.000 0.000 0.500
Tl1 Tl 0.250 0.250 0.250


# Na4Pt | Alexandria | meta-GGA SCAN | PBEsol geometry
# ΔE_f ... -0.0736 eV/atom
# Density ... 4.2 g cm⁻³
data_Na4Pt
_chemical_formula_sum 'Na8 Pt2'
_symmetry_space_group_name_H-M 'I 4/m'
_symmetry_Int_Tables_number 87
_symmetry_space_group_name_Hall '-I 4'
_cell_length_a 6.969
_cell_length_b 6.969
_cell_length_c 4.726
_cell_angle_alpha 90.00
_cell_angle_beta 90.00
_cell_angle_gamma 90.00
loop_
_atom_site_label
_atom_site_type_symbol
_atom_site_fract_x
_atom_site_fract_y
_atom_site_fract_z
Na1 Na 0.117 0.281 0.000
Pt1 Pt 0.000 0.000 0.500